Record 1
BaSiAu3 (PBE, optimized geometry); total DFT energy (no corrections) = -19.82 eV for the cell shown; distance to the lowest polymorph of the same formula = 24 meV per atom; space-group type = I4mm (107)
1.0
-2.374 2.374 5.162
2.374 -2.374 5.162
2.374 2.374 -5.162
Ba Si Au
1 1 3
direct
0.000 0.000 0.000
0.348 0.348 0.000
0.261 0.761 0.500
0.588 0.588 0.000
0.761 0.261 0.500

Record 2
Ba4Si20Au3 (PBE, optimized geometry); total DFT energy (no corrections) = -267.30 eV for the cell shown; space-group type = Pm-3n (223)
1.0
10.501 0.000 0.000
0.000 10.501 0.000
0.000 0.000 10.501
Ba Si Au
8 40 6
direct
0.000 0.000 0.000
0.000 0.250 0.500
0.000 0.750 0.500
0.250 0.500 0.000
0.500 0.000 0.250
0.500 0.000 0.750
0.500 0.500 0.500
0.750 0.500 0.000
0.000 0.304 0.117
0.000 0.304 0.883
0.000 0.696 0.117
0.000 0.696 0.883
0.117 0.000 0.304
0.117 0.000 0.696
0.184 0.184 0.184
0.184 0.184 0.816
0.184 0.816 0.184
0.184 0.816 0.816
0.196 0.500 0.383
0.196 0.500 0.617
0.304 0.117 0.000
0.304 0.883 0.000
0.316 0.316 0.316
0.316 0.316 0.684
0.316 0.684 0.316
0.316 0.684 0.684
0.383 0.196 0.500
0.383 0.804 0.500
0.500 0.383 0.196
0.500 0.383 0.804
0.500 0.617 0.196
0.500 0.617 0.804
0.617 0.196 0.500
0.617 0.804 0.500
0.684 0.316 0.316
0.684 0.316 0.684
0.684 0.684 0.316
0.684 0.684 0.684
0.696 0.117 0.000
0.696 0.883 0.000
0.804 0.500 0.383
0.804 0.500 0.617
0.816 0.184 0.184
0.816 0.184 0.816
0.816 0.816 0.184
0.816 0.816 0.816
0.883 0.000 0.304
0.883 0.000 0.696
0.000 0.500 0.250
0.000 0.500 0.750
0.250 0.000 0.500
0.500 0.250 0.000
0.500 0.750 0.000
0.750 0.000 0.500